A plane-wave DFT calculation with PBE was carried out for a relaxed structure of SrBeTl2.

Formation energy, eV per formula unit: 0.87
E_tot, eV per cell: -37.1
Total magnetization, μB/f.u.: 0.0
V, Å³/cell: 418

Geometry as CIF:
```
data_SrBeTl2
_symmetry_space_group_name_H-M 'F m -3 m'
_symmetry_Int_Tables_number 225
_symmetry_space_group_name_Hall '-F 4 2 3'
_cell_length_a 7.479
_cell_length_b 7.479
_cell_length_c 7.479
_cell_angle_alpha 90.00
_cell_angle_beta 90.00
_cell_angle_gamma 90.00
loop_
_atom_site_label
_atom_site_fract_x
_atom_site_fract_y
_atom_site_fract_z
_atom_site_occupancy
Sr1 0.000 0.000 0.000 1
Be1 0.000 0.000 0.500 1
Tl1 0.250 0.250 0.250 1
```



A plane-wave DFT calculation with PBE was carried out for a relaxed structure of SrBe2Tl.

Formation energy, eV per formula unit: 1.96
E_tot, eV per cell: -38.1
Total magnetization, μB/f.u.: 0.0
V, Å³/cell: 318

Geometry as CIF:
```
data_SrBe2Tl
_symmetry_space_group_name_H-M 'F m -3 m'
_symmetry_Int_Tables_number 225
_symmetry_space_group_name_Hall '-F 4 2 3'
_cell_length_a 6.824
_cell_length_b 6.824
_cell_length_c 6.824
_cell_angle_alpha 90.00
_cell_angle_beta 90.00
_cell_angle_gamma 90.00
loop_
_atom_site_label
_atom_site_fract_x
_atom_site_fract_y
_atom_site_fract_z
_atom_site_occupancy
Sr1 0.000 0.000 0.000 1
Be1 0.250 0.250 0.250 1
Tl1 0.000 0.000 0.500 1
```



A plane-wave DFT calculation with PBE was carried out for a relaxed structure of SrBeTl4.

Formation energy, eV per formula unit: 2.08
E_tot, eV per cell: -51.2
Total magnetization, μB/f.u.: 0.0
V, Å³/cell: 748

Geometry as CIF:
```
data_SrBeTl4
_symmetry_space_group_name_H-M 'F -4 3 m'
_symmetry_Int_Tables_number 216
_symmetry_space_group_name_Hall 'F -4 2 3'
_cell_length_a 9.077
_cell_length_b 9.077
_cell_length_c 9.077
_cell_angle_alpha 90.00
_cell_angle_beta 90.00
_cell_angle_gamma 90.00
loop_
_atom_site_label
_atom_site_fract_x
_atom_site_fract_y
_atom_site_fract_z
_atom_site_occupancy
Sr1 0.000 0.000 0.000 1
Be1 0.250 0.250 0.250 1
Tl1 0.124 0.124 0.624 1
```



A plane-wave DFT calculation with PBE was carried out for a relaxed structure of SrBe2Tl.

Formation energy, eV per formula unit: 1.32
E_tot, eV per cell: -10.2
Total magnetization, μB/f.u.: 0.0
V, Å³/cell: 98

Geometry as CIF:
```
data_SrBe2Tl
_symmetry_space_group_name_H-M 'P m m m'
_symmetry_Int_Tables_number 47
_symmetry_space_group_name_Hall '-P 2 2'
_cell_length_a 4.360
_cell_length_b 4.387
_cell_length_c 5.144
_cell_angle_alpha 90.00
_cell_angle_beta 90.00
_cell_angle_gamma 90.00
loop_
_atom_site_label
_atom_site_fract_x
_atom_site_fract_y
_atom_site_fract_z
_atom_site_occupancy
Sr1 0.000 0.000 0.000 1
Be1 0.500 0.245 0.500 1
Tl1 0.000 0.500 0.500 1
```



A plane-wave DFT calculation with PBE was carried out for a relaxed structure of SrBe2Tl.

Formation energy, eV per formula unit: 1.93
E_tot, eV per cell: -19.1
Total magnetization, μB/f.u.: 0.0
V, Å³/cell: 175

Geometry as CIF:
```
data_SrBe2Tl
_symmetry_space_group_name_H-M 'I m m m'
_symmetry_Int_Tables_number 71
_symmetry_space_group_name_Hall '-I 2 2'
_cell_length_a 4.424
_cell_length_b 5.667
_cell_length_c 6.992
_cell_angle_alpha 90.00
_cell_angle_beta 90.00
_cell_angle_gamma 90.00
loop_
_atom_site_label
_atom_site_fract_x
_atom_site_fract_y
_atom_site_fract_z
_atom_site_occupancy
Sr1 0.000 0.000 0.000 1
Be1 0.000 0.500 0.174 1
Tl1 0.000 0.000 0.500 1
```



A plane-wave DFT calculation with PBE was carried out for a relaxed structure of SrBe2Tl.

Formation energy, eV per formula unit: 1.06
E_tot, eV per cell: -31.3
Total magnetization, μB/f.u.: 0.7
V, Å³/cell: 260

Geometry as CIF:
```
data_SrBe2Tl
_symmetry_space_group_name_H-M 'R -3 m'
_symmetry_Int_Tables_number 166
_symmetry_space_group_name_Hall '-R 3 2"'
_cell_length_a 4.2285
_cell_length_b 4.2285
_cell_length_c 16.8056
_cell_angle_alpha 90.00
_cell_angle_beta 90.00
_cell_angle_gamma 120.00
loop_
_atom_site_label
_atom_site_fract_x
_atom_site_fract_y
_atom_site_fract_z
_atom_site_occupancy
Sr1 0.0000 0.0000 0.0000 1
Be1 0.0000 0.0000 0.1936 1
Tl1 0.0000 0.0000 0.5000 1
```



A plane-wave DFT calculation with PBE was carried out for a relaxed structure of SrBe2Tl.

Formation energy, eV per formula unit: 2.27
E_tot, eV per cell: -18.5
Total magnetization, μB/f.u.: 0.0
V, Å³/cell: 180

Geometry as CIF:
```
data_SrBe2Tl
_symmetry_space_group_name_H-M 'C m m m'
_symmetry_Int_Tables_number 65
_symmetry_space_group_name_Hall '-C 2 2'
_cell_length_a 4.674
_cell_length_b 5.581
_cell_length_c 6.906
_cell_angle_alpha 90.00
_cell_angle_beta 90.00
_cell_angle_gamma 90.00
loop_
_atom_site_label
_atom_site_fract_x
_atom_site_fract_y
_atom_site_fract_z
_atom_site_occupancy
Sr1 0.000 0.000 0.000 1
Be1 0.000 0.500 0.329 1
Tl1 0.000 0.000 0.500 1
```



A plane-wave DFT calculation with PBE was carried out for a relaxed structure of SrBeTl2.

Formation energy, eV per formula unit: 0.16
E_tot, eV per cell: -30.0
Total magnetization, μB/f.u.: 0.0
V, Å³/cell: 323

Geometry as CIF:
```
data_SrBeTl2
_symmetry_space_group_name_H-M 'R -3 m'
_symmetry_Int_Tables_number 166
_symmetry_space_group_name_Hall '-R 3 2"'
_cell_length_a 4.4521
_cell_length_b 4.4521
_cell_length_c 18.8192
_cell_angle_alpha 90.00
_cell_angle_beta 90.00
_cell_angle_gamma 120.00
loop_
_atom_site_label
_atom_site_fract_x
_atom_site_fract_y
_atom_site_fract_z
_atom_site_occupancy
Sr1 0.0000 0.0000 0.0000 1
Be1 0.0000 0.0000 0.5000 1
Tl1 0.0000 0.0000 0.2184 1
```



A plane-wave DFT calculation with PBE was carried out for a relaxed structure of Sr2BeTl.

Formation energy, eV per formula unit: 0.28
E_tot, eV per cell: -9.2
Total magnetization, μB/f.u.: 0.0
V, Å³/cell: 122

Geometry as CIF:
```
data_Sr2BeTl
_symmetry_space_group_name_H-M 'P m m m'
_symmetry_Int_Tables_number 47
_symmetry_space_group_name_Hall '-P 2 2'
_cell_length_a 3.836
_cell_length_b 3.909
_cell_length_c 8.149
_cell_angle_alpha 90.00
_cell_angle_beta 90.00
_cell_angle_gamma 90.00
loop_
_atom_site_label
_atom_site_fract_x
_atom_site_fract_y
_atom_site_fract_z
_atom_site_occupancy
Sr1 0.000 0.000 0.225 1
Be1 0.500 0.500 0.000 1
Tl1 0.500 0.500 0.500 1
```



A plane-wave DFT calculation with PBE was carried out for a relaxed structure of SrBeTl2.

Formation energy, eV per formula unit: 0.82
E_tot, eV per cell: -9.3
Total magnetization, μB/f.u.: 0.0
V, Å³/cell: 102

Geometry as CIF:
```
data_SrBeTl2
_symmetry_space_group_name_H-M 'P 4/m m m'
_symmetry_Int_Tables_number 123
_symmetry_space_group_name_Hall '-P 4 2'
_cell_length_a 3.634
_cell_length_b 3.634
_cell_length_c 7.709
_cell_angle_alpha 90.00
_cell_angle_beta 90.00
_cell_angle_gamma 90.00
loop_
_atom_site_label
_atom_site_fract_x
_atom_site_fract_y
_atom_site_fract_z
_atom_site_occupancy
Sr1 0.000 0.000 0.000 1
Be1 0.000 0.000 0.500 1
Tl1 0.500 0.500 0.303 1
```



A plane-wave DFT calculation with PBE was carried out for a relaxed structure of Sr2BeTl.

Formation energy, eV per formula unit: 1.55
E_tot, eV per cell: -31.6
Total magnetization, μB/f.u.: 0.0
V, Å³/cell: 568

Geometry as CIF:
```
data_Sr2BeTl
_symmetry_space_group_name_H-M 'I -4 2 d'
_symmetry_Int_Tables_number 122
_symmetry_space_group_name_Hall 'I -4 2bw'
_cell_length_a 8.744
_cell_length_b 8.744
_cell_length_c 7.430
_cell_angle_alpha 90.00
_cell_angle_beta 90.00
_cell_angle_gamma 90.00
loop_
_atom_site_label
_atom_site_fract_x
_atom_site_fract_y
_atom_site_fract_z
_atom_site_occupancy
Sr1 0.215 0.250 0.125 1
Be1 0.000 0.000 0.000 1
Tl1 0.000 0.000 0.500 1
```



A plane-wave DFT calculation with PBE was carried out for a relaxed structure of SrBeTl2.

Formation energy, eV per formula unit: 0.67
E_tot, eV per cell: -18.9
Total magnetization, μB/f.u.: 0.0
V, Å³/cell: 233

Geometry as CIF:
```
data_SrBeTl2
_symmetry_space_group_name_H-M 'I m m 2'
_symmetry_Int_Tables_number 44
_symmetry_space_group_name_Hall 'I 2 -2'
_cell_length_a 4.603
_cell_length_b 6.119
_cell_length_c 8.254
_cell_angle_alpha 90.00
_cell_angle_beta 90.00
_cell_angle_gamma 90.00
loop_
_atom_site_label
_atom_site_fract_x
_atom_site_fract_y
_atom_site_fract_z
_atom_site_occupancy
Sr1 0.000 0.000 0.000 1
Be1 0.000 0.500 0.165 1
Tl1 0.000 0.000 0.587 1
Tl2 0.000 0.500 0.800 1
```



A plane-wave DFT calculation with PBE was carried out for a relaxed structure of Sr2Be2Tl.

Formation energy, eV per formula unit: 1.44
E_tot, eV per cell: -23.5
Total magnetization, μB/f.u.: 0.0
V, Å³/cell: 265

Geometry as CIF:
```
data_Sr2Be2Tl
_symmetry_space_group_name_H-M 'I 4/m m m'
_symmetry_Int_Tables_number 139
_symmetry_space_group_name_Hall '-I 4 2'
_cell_length_a 6.133
_cell_length_b 6.133
_cell_length_c 7.052
_cell_angle_alpha 90.00
_cell_angle_beta 90.00
_cell_angle_gamma 90.00
loop_
_atom_site_label
_atom_site_fract_x
_atom_site_fract_y
_atom_site_fract_z
_atom_site_occupancy
Sr1 0.000 0.500 0.250 1
Be1 0.000 0.000 0.143 1
Tl1 0.000 0.000 0.500 1
```



A plane-wave DFT calculation with PBE was carried out for a relaxed structure of SrBeTl2.

Formation energy, eV per formula unit: 0.62
E_tot, eV per cell: -9.5
Total magnetization, μB/f.u.: 0.0
V, Å³/cell: 113

Geometry as CIF:
```
data_SrBeTl2
_symmetry_space_group_name_H-M 'P 1 m 1'
_symmetry_Int_Tables_number 6
_symmetry_space_group_name_Hall 'P -2y'
_cell_length_a 4.194
_cell_length_b 4.517
_cell_length_c 6.330
_cell_angle_alpha 90.00
_cell_angle_beta 109.26
_cell_angle_gamma 90.00
loop_
_atom_site_label
_atom_site_fract_x
_atom_site_fract_y
_atom_site_fract_z
_atom_site_occupancy
Sr1 0.000 0.000 0.000 1
Be1 0.367 0.500 0.726 1
Tl1 0.284 0.000 0.566 1
Tl2 0.680 0.500 0.358 1
```



A plane-wave DFT calculation with PBE was carried out for a relaxed structure of SrBeTl2.

Formation energy, eV per formula unit: 0.85
E_tot, eV per cell: -18.6
Total magnetization, μB/f.u.: 0.0
V, Å³/cell: 216

Geometry as CIF:
```
data_SrBeTl2
_symmetry_space_group_name_H-M 'C m m 2'
_symmetry_Int_Tables_number 35
_symmetry_space_group_name_Hall 'C 2 -2'
_cell_length_a 5.336
_cell_length_b 5.353
_cell_length_c 7.563
_cell_angle_alpha 90.00
_cell_angle_beta 90.00
_cell_angle_gamma 90.00
loop_
_atom_site_label
_atom_site_fract_x
_atom_site_fract_y
_atom_site_fract_z
_atom_site_occupancy
Sr1 0.000 0.000 0.000 1
Be1 0.000 0.500 0.695 1
Tl1 0.000 0.000 0.569 1
Tl2 0.000 0.500 0.310 1
```



A plane-wave DFT calculation with PBE was carried out for a relaxed structure of Sr2BeTl.

Formation energy, eV per formula unit: 1.04
E_tot, eV per cell: -25.2
Total magnetization, μB/f.u.: 0.1
V, Å³/cell: 421

Geometry as CIF:
```
data_Sr2BeTl
_symmetry_space_group_name_H-M 'R -3 m'
_symmetry_Int_Tables_number 166
_symmetry_space_group_name_Hall '-R 3 2"'
_cell_length_a 4.1635
_cell_length_b 4.1635
_cell_length_c 28.0365
_cell_angle_alpha 90.00
_cell_angle_beta 90.00
_cell_angle_gamma 120.00
loop_
_atom_site_label
_atom_site_fract_x
_atom_site_fract_y
_atom_site_fract_z
_atom_site_occupancy
Sr1 0.0000 0.0000 0.2398 1
Be1 0.0000 0.0000 0.5000 1
Tl1 0.0000 0.0000 0.0000 1
```



A plane-wave DFT calculation with PBE was carried out for a relaxed structure of SrBeTl.

Formation energy, eV per formula unit: 0.76
E_tot, eV per cell: -14.0
Total magnetization, μB/f.u.: 0.0
V, Å³/cell: 153

Geometry as CIF:
```
data_SrBeTl
_symmetry_space_group_name_H-M 'I 4 m m'
_symmetry_Int_Tables_number 107
_symmetry_space_group_name_Hall 'I 4 -2'
_cell_length_a 3.574
_cell_length_b 3.574
_cell_length_c 11.937
_cell_angle_alpha 90.00
_cell_angle_beta 90.00
_cell_angle_gamma 90.00
loop_
_atom_site_label
_atom_site_fract_x
_atom_site_fract_y
_atom_site_fract_z
_atom_site_occupancy
Sr1 0.000 0.000 0.000 1
Be1 0.000 0.000 0.676 1
Tl1 0.000 0.000 0.290 1
```



A plane-wave DFT calculation with PBE was carried out for a relaxed structure of SrBe2Tl.

Formation energy, eV per formula unit: 2.63
E_tot, eV per cell: -8.9
Total magnetization, μB/f.u.: 0.0
V, Å³/cell: 89

Geometry as CIF:
```
data_SrBe2Tl
_symmetry_space_group_name_H-M 'P 4/m m m'
_symmetry_Int_Tables_number 123
_symmetry_space_group_name_Hall '-P 4 2'
_cell_length_a 4.663
_cell_length_b 4.663
_cell_length_c 4.105
_cell_angle_alpha 90.00
_cell_angle_beta 90.00
_cell_angle_gamma 90.00
loop_
_atom_site_label
_atom_site_fract_x
_atom_site_fract_y
_atom_site_fract_z
_atom_site_occupancy
Sr1 0.000 0.000 0.000 1
Be1 0.000 0.500 0.500 1
Tl1 0.500 0.500 0.000 1
```



A plane-wave DFT calculation with PBE was carried out for a relaxed structure of SrBeTl.

Formation energy, eV per formula unit: 0.15
E_tot, eV per cell: -7.6
Total magnetization, μB/f.u.: 0.0
V, Å³/cell: 79

Geometry as CIF:
```
data_SrBeTl
_symmetry_space_group_name_H-M 'P -6 m 2'
_symmetry_Int_Tables_number 187
_symmetry_space_group_name_Hall 'P -6 2'
_cell_length_a 4.5724
_cell_length_b 4.5724
_cell_length_c 4.3547
_cell_angle_alpha 90.00
_cell_angle_beta 90.00
_cell_angle_gamma 120.00
loop_
_atom_site_label
_atom_site_fract_x
_atom_site_fract_y
_atom_site_fract_z
_atom_site_occupancy
Sr1 0.0000 0.0000 0.0000 1
Be1 0.3333 0.6667 0.5000 1
Tl1 0.6667 0.3333 0.5000 1
```



A plane-wave DFT calculation with PBE was carried out for a relaxed structure of SrBeTl2.

Formation energy, eV per formula unit: 1.51
E_tot, eV per cell: -17.3
Total magnetization, μB/f.u.: 0.0
V, Å³/cell: 236

Geometry as CIF:
```
data_SrBeTl2
_symmetry_space_group_name_H-M 'C 1 2/m 1'
_symmetry_Int_Tables_number 12
_symmetry_space_group_name_Hall '-C 2y'
_cell_length_a 6.554
_cell_length_b 11.231
_cell_length_c 3.782
_cell_angle_alpha 90.00
_cell_angle_beta 122.00
_cell_angle_gamma 90.00
loop_
_atom_site_label
_atom_site_fract_x
_atom_site_fract_y
_atom_site_fract_z
_atom_site_occupancy
Sr1 0.000 0.000 0.000 1
Be1 0.000 0.500 0.000 1
Tl1 0.250 0.250 0.500 1
```